No. 1
Here is a geometry-optimized VPBrN structure from Alexandria. Energies are from PBE.

Cell lengths 3.171, 3.558, 7.802 Å; angles 86.61, 79.23, 63.55 degrees
Atoms (fractional coordinates):
V (0.326, 0.702, 0.623)
N (0.036, 0.335, 0.564)
Br (0.558, 0.015, 0.865)
P (0.965, 0.641, 0.384)

Calculated values
Spin magnetization ... 0.0 μB per cell
Polymorph energy (0 for the lowest one) ... 0.47 kcal/mol of atoms
ρ ... 3.8 g/cm³



No. 2
Here is a geometry-optimized InReRu2 structure from Alexandria. Energies are from PBE.

Cell lengths 9.193, 9.193, 9.193 Å; angles 17.74, 17.74, 17.74 degrees
Atoms (fractional coordinates):
Ru (0.000, 0.000, 0.000)
Ru (0.255, 0.255, 0.255)
Re (0.744, 0.744, 0.744)
In (0.501, 0.501, 0.501)

Calculated values
Formation energy ... 31 kJ per mole of atoms
Spin magnetization ... 0.0 μB per cell
ρ ... 13.3 g/cm³



No. 3
Here is a geometry-optimized Sr2CdHgH structure from Alexandria. Energies are from PBE.

Cell lengths 5.347, 5.347, 4.476 Å; angles 90.00, 90.00, 90.00 degrees
Atoms (fractional coordinates):
H (0.000, 0.000, 0.000)
Sr (0.000, 0.500, 0.000)
Sr (0.500, 0.000, 0.000)
Hg (0.500, 0.500, 0.500)
Cd (0.000, 0.000, 0.500)

Calculated values
Spin magnetization ... 0.0 μB per cell
Polymorph energy (0 for the lowest one) ... 0.00 kcal/mol of atoms
ρ ... 6.3 g/cm³



No. 4
Here is a geometry-optimized Cs2YBr5 structure from Alexandria. Energies are from PBE.

Cell lengths 7.955, 10.254, 16.232 Å; angles 90.00, 90.00, 90.00 degrees
Atoms (fractional coordinates):
Br (0.994, 0.342, 0.115)
Br (0.006, 0.158, 0.615)
Br (0.750, 0.972, 0.798)
Br (0.750, 0.472, 0.702)
Br (0.750, 0.215, 0.402)
Br (0.000, 0.500, 0.500)
Br (0.000, 0.000, 0.000)
Br (0.250, 0.785, 0.598)
Br (0.250, 0.285, 0.902)
Br (0.494, 0.658, 0.885)
Br (0.500, 0.000, 0.000)
Br (0.006, 0.658, 0.885)
Br (0.506, 0.842, 0.385)
Br (0.750, 0.715, 0.098)
Br (0.506, 0.342, 0.115)
Br (0.500, 0.500, 0.500)
Br (0.994, 0.842, 0.385)
Br (0.250, 0.528, 0.298)
Br (0.494, 0.158, 0.615)
Br (0.250, 0.028, 0.202)
Cs (0.250, 0.466, 0.706)
Cs (0.250, 0.671, 0.086)
Cs (0.750, 0.534, 0.294)
Cs (0.750, 0.034, 0.206)
Cs (0.750, 0.829, 0.586)
Cs (0.750, 0.329, 0.914)
Cs (0.250, 0.171, 0.414)
Cs (0.250, 0.966, 0.794)
Y (0.750, 0.316, 0.563)
Y (0.750, 0.816, 0.937)
Y (0.250, 0.684, 0.437)
Y (0.250, 0.184, 0.063)

Calculated values
Spin magnetization ... 0.0 μB per cell
E ... -31.6 eV/f.u.
ρ ... 3.8 g/cm³



No. 5
Here is a geometry-optimized KTiCd2 structure from Alexandria. Energies are from PBE.

Cell lengths 5.238, 5.238, 5.238 Å; angles 60.00, 60.00, 60.00 degrees
Atoms (fractional coordinates):
Cd (0.750, 0.750, 0.750)
Cd (0.250, 0.250, 0.250)
Ti (0.500, 0.500, 0.500)
K (0.000, 0.000, 0.000)

Calculated values
Formation energy ... 49 kJ per mole of atoms
Spin magnetization ... 0.0 μB per cell
Polymorph energy (0 for the lowest one) ... 0.00 kcal/mol of atoms
ρ ... 5.1 g/cm³



No. 6
Here is a geometry-optimized Ca2CdPt structure from Alexandria. Energies are from PBE.

Cell lengths 8.055, 5.045, 3.787 Å; angles 90.13, 61.76, 128.37 degrees
Atoms (fractional coordinates):
Cd (0.000, 0.500, 0.500)
Ca (0.000, 0.000, 0.000)
Ca (0.500, 0.000, 0.500)
Pt (0.500, 0.500, 0.000)

Calculated values
Formation energy ... -55 kJ per mole of atoms
Spin magnetization ... 0.0 μB per cell
ρ ... 6.7 g/cm³



No. 7
Here is a geometry-optimized Sc4BeBr structure from Alexandria. Energies are from PBE.

Cell lengths 5.858, 5.858, 5.858 Å; angles 60.00, 60.00, 60.00 degrees
Atoms (fractional coordinates):
Sc (0.377, 0.377, 0.377)
Sc (0.377, 0.868, 0.377)
Sc (0.868, 0.377, 0.377)
Sc (0.377, 0.377, 0.868)
Be (0.750, 0.750, 0.750)
Br (0.000, 0.000, 0.000)

Calculated values
Spin magnetization ... 0.0 μB per cell
E ... -27.4 eV/f.u.
ρ ... 3.1 g/cm³



No. 8
Here is a geometry-optimized CsRbClF structure from Alexandria. Energies are from PBE.

Cell lengths 5.515, 5.515, 5.515 Å; angles 60.00, 60.00, 60.00 degrees
Site moments in Bohr magnetons follow the coordinates.
Atoms (fractional coordinates):
Cl (0.250, 0.250, 0.250)  0.01
Cs (0.000, 0.000, 0.000)  0.00
F (0.750, 0.750, 0.750)  0.10
Rb (0.500, 0.500, 0.500)  0.00

Calculated values
Spin magnetization ... 0.1 μB per cell
E ... -14.1 eV/f.u.
ρ ... 3.8 g/cm³



No. 9
Here is a geometry-optimized CsTiSi2 structure from Alexandria. Energies are from PBE.

Cell lengths 5.766, 5.766, 9.142 Å; angles 71.62, 71.62, 90.00 degrees
Atoms (fractional coordinates):
Si (0.875, 0.625, 0.750)
Si (0.375, 0.625, 0.250)
Si (0.375, 0.625, 0.750)
Si (0.375, 0.125, 0.250)
Cs (0.750, 0.250, 0.500)
Cs (0.000, 0.000, 0.000)
Ti (0.500, 0.500, 0.000)
Ti (0.250, 0.750, 0.500)

Calculated values
Spin magnetization ... 0.0 μB per cell
E ... -18.0 eV/f.u.
ρ ... 2.9 g/cm³



No. 10
Here is a geometry-optimized AcAgI4 structure from Alexandria. Energies are from PBE.

Cell lengths 8.968, 8.968, 8.968 Å; angles 108.57, 108.57, 111.28 degrees
Atoms (fractional coordinates):
I (0.705, 0.521, 0.816)
I (0.639, 0.955, 0.684)
I (0.705, 0.889, 0.184)
I (0.111, 0.295, 0.816)
I (0.479, 0.295, 0.184)
I (0.045, 0.729, 0.684)
I (0.271, 0.955, 0.316)
I (0.045, 0.361, 0.316)
Ac (0.750, 0.250, 0.500)
Ac (0.000, 0.000, 0.000)
Ag (0.500, 0.500, 0.000)
Ag (0.250, 0.750, 0.500)

Calculated values
Spin magnetization ... 0.0 μB per cell
Polymorph energy (0 for the lowest one) ... 0.00 kcal/mol of atoms
ρ ... 5.0 g/cm³



No. 11
Here is a geometry-optimized Be3AgCl structure from Alexandria. Energies are from PBE.

Cell lengths 4.511, 4.511, 4.511 Å; angles 90.00, 90.00, 90.00 degrees
Atoms (fractional coordinates):
Ag (0.000, 0.000, 0.000)
Be (0.000, 0.500, 0.000)
Be (0.000, 0.000, 0.500)
Be (0.500, 0.000, 0.000)
Cl (0.500, 0.500, 0.500)

Calculated values
Spin magnetization ... 0.0 μB per cell
Polymorph energy (0 for the lowest one) ... 0.00 kcal/mol of atoms
ρ ... 3.1 g/cm³



No. 12
Here is a geometry-optimized Nd6TlI8 structure from Alexandria. Energies are from PBE.

Cell lengths 7.697, 7.697, 12.550 Å; angles 72.14, 72.14, 60.00 degrees
Atoms (fractional coordinates):
Tl (0.000, 0.000, 0.000)
Nd (0.275, 0.949, 0.153)
Nd (0.949, 0.623, 0.153)
Nd (0.623, 0.275, 0.153)
Nd (0.051, 0.377, 0.847)
Nd (0.725, 0.051, 0.847)
Nd (0.377, 0.725, 0.847)
I (0.225, 0.559, 0.323)
I (0.559, 0.892, 0.323)
I (0.775, 0.441, 0.677)
I (0.108, 0.775, 0.677)
I (0.892, 0.225, 0.323)
I (0.333, 0.333, 0.000)
I (0.667, 0.667, 0.000)
I (0.441, 0.108, 0.677)

Calculated values
Spin magnetization ... 0.0 μB per cell
E ... -59.3 eV/f.u.
ρ ... 5.7 g/cm³